## Zn5Au (GGA-PBE)

Data for a geometry-optimized Zn5Au structure.

Summary:
Symmetry ... P6/mmm, No. 191

Cell lengths 4.9164, 4.9164, 4.6858 Å; angles 90.00, 90.00, 120.00 degrees
With the nearest neighbours (Å) after each atom.
Fractional positions:
1 Zn 0.0000 0.5000 0.0000  8 Zn 2.46-2.74
2 Zn 0.3333 0.6667 0.5000  9 Zn 2.74-2.84, 3 Au 2.84
3 Zn 0.5000 0.0000 0.0000  8 Zn 2.46-2.74
4 Zn 0.5000 0.5000 0.0000  8 Zn 2.46-2.74
5 Zn 0.6667 0.3333 0.5000  9 Zn 2.74-2.84, 3 Au 2.84
6 Au 0.0000 0.0000 0.5000  6 Zn 2.84


## ZnAu (GGA-PBE)

Data for a geometry-optimized ZnAu structure.

Summary:
Symmetry ... P6_3/mmc, No. 194

Cell lengths 3.9790, 3.9790, 5.5955 Å; angles 90.00, 90.00, 120.00 degrees
With the nearest neighbours (Å) after each atom.
Fractional positions:
1 Zn 0.3333 0.6667 0.2500  6 Au 2.69
2 Zn 0.6667 0.3333 0.7500  6 Au 2.69
3 Au 0.0000 0.0000 0.0000  6 Zn 2.69, 2 Au 2.80
4 Au 0.0000 0.0000 0.5000  6 Zn 2.69, 2 Au 2.80


no.,energy of formation (eV/atom),Fermi-level density of states (states/eV per cell),M_tot (μB/f.u.)
1,0.051,1.7,0.0
2,-0.148,1.2,0.0